The following is a DFT calculation (GGA-PBE) of GaPd15 after structural relaxation.

relative energy among the computed polymorphs: 28 meV/atom
symmetry: P2_1/m

a b c (Å): 5.5212 2.7977 45.2030
angles (deg): 90.00 90.00 90.00
With the nearest neighbours (Å) after each atom.
Fractional positions:
Pd 0.8750 0.0000 0.5661  12 Pd 2.76-2.80
Pd 0.3761 0.0000 0.2121  2 Ga 2.60, 10 Pd 2.75-2.84
Pd 0.6250 0.5000 0.2576  12 Pd 2.76-2.84
Pd 0.3748 0.0000 0.3018  12 Pd 2.76-2.82
Pd 0.6250 0.5000 0.4339  12 Pd 2.76-2.80
Pd 0.3750 0.0000 0.6540  12 Pd 2.76-2.80
Pd 0.6252 0.5000 0.1676  2 Ga 2.78, 6 Pd 2.80-2.81
Pd 0.8750 0.0000 0.7429  12 Pd 2.76-2.83
Pd 0.3750 0.0000 0.4780  12 Pd 2.76-2.80
Pd 0.1248 0.5000 0.6982  12 Pd 2.76-2.82
Pd 0.6251 0.5000 0.6101  12 Pd 2.76-2.80
Pd 0.1249 0.5000 0.6101  12 Pd 2.76-2.80
Pd 0.3750 0.0000 0.5661  12 Pd 2.76-2.80
Pd 0.1263 0.5000 0.7878  2 Ga 2.61, 10 Pd 2.75-2.84
Pd 0.8752 0.0000 0.3018  12 Pd 2.76-2.82
Pd 0.1250 0.5000 0.5220  12 Pd 2.76-2.80
Pd 0.3749 0.0000 0.3899  12 Pd 2.76-2.80
Ga 0.1250 0.5000 0.1745  6 Pd 2.60-2.78, 2 Ga 2.80
Pd 0.6250 0.5000 0.3460  12 Pd 2.76-2.80
Ga 0.8750 0.0000 0.8256  6 Pd 2.61-2.78, 2 Ga 2.80
Pd 0.8751 0.0000 0.3899  12 Pd 2.76-2.80
Pd 0.6252 0.5000 0.6982  12 Pd 2.76-2.82
Pd 0.8750 0.0000 0.4780  12 Pd 2.76-2.80
Pd 0.3750 0.0000 0.7424  12 Pd 2.76-2.84
Pd 0.6239 0.5000 0.7879  2 Ga 2.61, 10 Pd 2.75-2.84
Pd 0.8737 0.0000 0.2122  2 Ga 2.61, 10 Pd 2.75-2.84
Pd 0.1250 0.5000 0.2571  12 Pd 2.76-2.83
Pd 0.3748 0.0000 0.8324  2 Ga 2.78, 6 Pd 2.80-2.81
Pd 0.8750 0.0000 0.6540  12 Pd 2.76-2.80
Pd 0.6250 0.5000 0.5220  12 Pd 2.76-2.80
Pd 0.1250 0.5000 0.4339  12 Pd 2.76-2.80
Pd 0.1250 0.5000 0.3460  12 Pd 2.76-2.80

=====

The following is a DFT calculation (GGA-PBE) of GaPd after structural relaxation.

symmetry: F-43m

a b c (Å): 3.9941 3.9941 3.9941
angles (deg): 60.00 60.00 60.00
With the nearest neighbours (Å) after each atom.
Fractional positions:
Pd 0.2500 0.2500 0.2500  4 Ga 2.45
Ga 0.0000 0.0000 0.0000  4 Pd 2.45

=====

The following is a DFT calculation (GGA-PBE) of GaPd15 after structural relaxation.

relative energy among the computed polymorphs: 0 meV/atom
symmetry: Pmma

a b c (Å): 3.9125 3.9145 45.3551
angles (deg): 90.00 90.00 90.00
With the nearest neighbours (Å) after each atom.
Fractional positions:
Pd 0.5000 0.5000 0.7878  2 Ga 2.61, 10 Pd 2.77-2.84
Pd 0.5000 0.5000 0.1678  4 Ga 2.78, 4 Pd 2.81
Pd 0.5000 0.5000 0.6982  12 Pd 2.77-2.82
Pd 0.0000 0.0000 0.2577  12 Pd 2.77-2.84
Ga 0.0000 0.0000 0.1740  8 Pd 2.62-2.78
Pd 0.5000 0.0000 0.5660  12 Pd 2.77-2.80
Pd 0.5000 0.0000 0.3899  12 Pd 2.77-2.80
Pd 0.0000 0.5000 0.4780  12 Pd 2.77-2.80
Pd 0.0000 0.5000 0.5661  12 Pd 2.77-2.80
Pd 0.0000 0.5000 0.3899  12 Pd 2.77-2.80
Pd 0.5000 0.5000 0.3460  12 Pd 2.77-2.80
Pd 0.5000 0.5000 0.6101  12 Pd 2.77-2.80
Pd 0.0000 0.0000 0.4340  12 Pd 2.77-2.80
Pd 0.0000 0.0000 0.6982  12 Pd 2.77-2.82
Pd 0.5000 0.0000 0.2122  2 Ga 2.62, 10 Pd 2.77-2.84
Pd 0.5000 0.0000 0.6542  12 Pd 2.77-2.80
Pd 0.5000 0.5000 0.4339  12 Pd 2.77-2.80
Pd 0.0000 0.0000 0.7878  2 Ga 2.61, 10 Pd 2.77-2.84
Pd 0.5000 0.5000 0.2571  12 Pd 2.77-2.82
Pd 0.0000 0.5000 0.3018  12 Pd 2.77-2.82
Pd 0.5000 0.5000 0.5220  12 Pd 2.77-2.80
Pd 0.0000 0.5000 0.8322  4 Ga 2.78, 4 Pd 2.81
Pd 0.0000 0.0000 0.6100  12 Pd 2.77-2.80
Pd 0.0000 0.5000 0.6540  12 Pd 2.77-2.80
Ga 0.5000 0.0000 0.8260  8 Pd 2.61-2.78
Pd 0.5000 0.0000 0.7423  12 Pd 2.77-2.84
Pd 0.0000 0.5000 0.7429  12 Pd 2.77-2.82
Pd 0.5000 0.0000 0.4780  12 Pd 2.77-2.80
Pd 0.0000 0.0000 0.5220  12 Pd 2.77-2.80
Pd 0.5000 0.0000 0.3018  12 Pd 2.77-2.82
Pd 0.0000 0.0000 0.3458  12 Pd 2.77-2.80
Pd 0.0000 0.5000 0.2122  2 Ga 2.62, 10 Pd 2.77-2.84

=====

The following is a DFT calculation (GGA-PBE) of GaPd7 after structural relaxation.

relative energy among the computed polymorphs: 48 meV/atom
symmetry: P4/nmm

a b c (Å): 2.8052 2.8052 43.9068
angles (deg): 90.00 90.00 90.00
With the nearest neighbours (Å) after each atom.
Fractional positions:
Pd 0.5000 0.0000 0.6566  12 Pd 2.79-2.81
Pd 0.5000 0.0000 0.5671  12 Pd 2.79-2.81
Pd 0.5000 0.0000 0.2065  4 Ga 2.67, 8 Pd 2.81-2.85
Pd 0.0000 0.5000 0.4329  12 Pd 2.79-2.81
Pd 0.0000 0.5000 0.3434  12 Pd 2.79-2.81
Pd 0.0000 0.5000 0.7015  12 Pd 2.80-2.81
Pd 0.5000 0.0000 0.7468  12 Pd 2.81-2.85
Pd 0.5000 0.0000 0.2985  12 Pd 2.80-2.81
Pd 0.0000 0.5000 0.2532  12 Pd 2.81-2.85
Pd 0.5000 0.0000 0.4776  12 Pd 2.79-2.81
Ga 0.5000 0.0000 0.8341  4 Pd 2.67, 4 Ga 2.81
Pd 0.0000 0.5000 0.6119  12 Pd 2.79-2.81
Ga 0.0000 0.5000 0.1659  4 Pd 2.67, 4 Ga 2.81
Pd 0.0000 0.5000 0.7935  4 Ga 2.67, 8 Pd 2.81-2.85
Pd 0.0000 0.5000 0.5224  12 Pd 2.79-2.81
Pd 0.5000 0.0000 0.3881  12 Pd 2.79-2.81

=====

The following is a DFT calculation (GGA-PBE) of GaPd7 after structural relaxation.

relative energy among the computed polymorphs: 0 meV/atom
symmetry: Pmmn

a b c (Å): 2.8000 3.9213 35.4574
angles (deg): 90.00 90.00 90.00
With the nearest neighbours (Å) after each atom.
Fractional positions:
Pd 0.5000 0.5000 0.8208  12 Pd 2.78-3.03
Pd 0.0000 0.0000 0.9407  12 Pd 2.79-2.81
Ga 0.5000 0.5000 0.2898  5 Pd 2.53-2.57, 2 Ga 2.80
Pd 0.5000 0.5000 0.9009  12 Pd 2.79-2.84
Pd 0.5000 0.5000 0.0593  12 Pd 2.79-2.81
Pd 0.0000 0.0000 0.8614  12 Pd 2.79-2.83
Pd 0.5000 0.5000 0.2184  1 Ga 2.53, 7 Pd 2.78-2.83
Pd 0.0000 0.0000 0.0991  12 Pd 2.79-2.84
Ga 0.0000 0.0000 0.7102  5 Pd 2.53-2.57, 2 Ga 2.80
Pd 0.5000 0.5000 0.7353  4 Ga 2.57, 2 Pd 2.80
Pd 0.5000 0.5000 0.1386  12 Pd 2.79-2.83
Pd 0.5000 0.5000 0.9803  12 Pd 2.78-2.82
Pd 0.0000 0.0000 0.0197  12 Pd 2.78-2.82
Pd 0.0000 0.0000 0.2647  4 Ga 2.57, 2 Pd 2.80
Pd 0.0000 0.0000 0.1792  12 Pd 2.78-3.03
Pd 0.0000 0.0000 0.7816  1 Ga 2.53, 7 Pd 2.78-2.83

=====

The following is a DFT calculation (GGA-PBE) of GaPd after structural relaxation.

symmetry: P6/mmm

a b c (Å): 5.4422 5.4422 4.1848
angles (deg): 90.00 90.00 120.00
With the nearest neighbours (Å) after each atom.
Fractional positions:
Ga 0.3333 0.6667 0.5000  6 Pd 2.62
Pd 0.0000 0.5000 0.0000  6 Ga 2.62-2.72, 4 Pd 2.72
Ga 0.6667 0.3333 0.5000  6 Pd 2.62
Pd 0.5000 0.5000 0.0000  6 Ga 2.62-2.72, 4 Pd 2.72
Ga 0.0000 0.0000 0.0000  6 Pd 2.72
Pd 0.5000 0.0000 0.0000  6 Ga 2.62-2.72, 4 Pd 2.72

=====

The following is a DFT calculation (GGA-PBE) of GaPd15 after structural relaxation.

relative energy among the computed polymorphs: 60 meV/atom
symmetry: P2_1/m

a b c (Å): 7.8547 2.7926 36.2522
angles (deg): 90.00 90.01 90.00
With the nearest neighbours (Å) after each atom.
Fractional positions:
Ga 0.1251 0.0000 0.7816  5 Pd 2.53-2.54, 2 Ga 2.79
Pd 0.6251 0.0000 0.6365  12 Pd 2.78-2.83
Pd 0.3753 0.5000 0.4416  12 Pd 2.78-2.83
Ga 0.8749 0.5000 0.2185  5 Pd 2.53-2.54, 2 Ga 2.79
Pd 0.1157 0.0000 0.2442  2 Ga 2.53, 4 Pd 2.74-2.79
Pd 0.3757 0.5000 0.5969  12 Pd 2.77-2.82
Pd 0.1259 0.0000 0.4806  12 Pd 2.79-2.80
Pd 0.6250 0.0000 0.3254  12 Pd 2.76-2.94
Pd 0.8741 0.5000 0.5194  12 Pd 2.79-2.80
Pd 0.6243 0.0000 0.4031  12 Pd 2.77-2.82
Pd 0.3749 0.5000 0.6746  12 Pd 2.76-2.94
Pd 0.3750 0.5000 0.2863  12 Pd 2.72-2.90
Pd 0.6240 0.0000 0.4807  12 Pd 2.78-2.82
Pd 0.8747 0.5000 0.4423  12 Pd 2.79-2.80
Pd 0.6247 0.0000 0.5584  12 Pd 2.78-2.83
Pd 0.1253 0.0000 0.5577  12 Pd 2.79-2.80
Pd 0.1258 0.0000 0.4033  12 Pd 2.78-2.82
Pd 0.3750 0.5000 0.2114  7 Pd 2.72-2.79
Pd 0.6250 0.0000 0.7886  7 Pd 2.71-2.79
Pd 0.1250 0.0000 0.3254  12 Pd 2.76-2.94
Pd 0.6250 0.0000 0.7137  12 Pd 2.71-2.90
Pd 0.8844 0.5000 0.7558  2 Ga 2.53, 4 Pd 2.74-2.79
Pd 0.1249 0.0000 0.7116  1 Ga 2.54, 7 Pd 2.76-2.79
Pd 0.8742 0.5000 0.5967  12 Pd 2.78-2.82
Pd 0.3749 0.5000 0.3635  12 Pd 2.78-2.83
Pd 0.6343 0.0000 0.2443  2 Ga 2.53, 4 Pd 2.74-2.79
Pd 0.3656 0.5000 0.7557  2 Ga 2.53, 4 Pd 2.74-2.79
Pd 0.8751 0.5000 0.2884  1 Ga 2.54, 7 Pd 2.76-2.79
Pd 0.3760 0.5000 0.5193  12 Pd 2.78-2.82
Pd 0.8751 0.5000 0.6746  12 Pd 2.76-2.94
Pd 0.8751 0.5000 0.3655  12 Pd 2.77-2.81
Pd 0.1249 0.0000 0.6345  12 Pd 2.77-2.81

=====

The following is a DFT calculation (GGA-PBE) of GaPd15 after structural relaxation.

relative energy among the computed polymorphs: 35 meV/atom
symmetry: P2_1/m

a b c (Å): 5.5341 3.9307 36.4332
angles (deg): 90.00 90.05 90.00
With the nearest neighbours (Å) after each atom.
Fractional positions:
Pd 0.6276 0.2500 0.7454  2 Ga 2.60, 8 Pd 2.74-2.84
Ga 0.8752 0.7500 0.7174  7 Pd 2.55-2.78
Pd 0.6253 0.2500 0.8256  12 Pd 2.76-2.92
Pd 0.6246 0.2500 0.9033  12 Pd 2.76-2.83
Pd 0.1251 0.2500 0.0579  12 Pd 2.77-2.81
Pd 0.8776 0.7500 0.2545  2 Ga 2.60, 8 Pd 2.74-2.84
Pd 0.3754 0.7500 0.0967  12 Pd 2.76-2.83
Pd 0.8749 0.7500 0.9421  12 Pd 2.77-2.81
Pd 0.3750 0.7500 0.7096  5 Pd 2.74-2.80, 2 Ga 2.78
Pd 0.6250 0.2500 0.2904  5 Pd 2.74-2.80, 2 Ga 2.78
Pd 0.6248 0.2500 0.9807  12 Pd 2.76-2.82
Pd 0.1224 0.2500 0.7455  2 Ga 2.60, 8 Pd 2.74-2.84
Pd 0.6251 0.2500 0.1357  12 Pd 2.77-2.83
Pd 0.8747 0.7500 0.0193  12 Pd 2.76-2.82
Pd 0.3749 0.7500 0.7866  12 Pd 2.77-2.84
Pd 0.3750 0.7500 0.9420  12 Pd 2.77-2.83
Pd 0.8749 0.7500 0.7874  1 Ga 2.55, 11 Pd 2.77-2.84
Pd 0.8749 0.7500 0.8650  12 Pd 2.77-2.83
Ga 0.1248 0.2500 0.2826  7 Pd 2.55-2.78
Pd 0.1251 0.2500 0.1350  12 Pd 2.77-2.83
Pd 0.8746 0.7500 0.0966  12 Pd 2.76-2.83
Pd 0.1253 0.2500 0.9807  12 Pd 2.76-2.82
Pd 0.6250 0.2500 0.0580  12 Pd 2.77-2.83
Pd 0.8752 0.7500 0.1743  12 Pd 2.76-2.92
Pd 0.1254 0.2500 0.9034  12 Pd 2.76-2.83
Pd 0.1251 0.2500 0.2126  1 Ga 2.55, 11 Pd 2.77-2.84
Pd 0.3724 0.7500 0.2546  2 Ga 2.60, 8 Pd 2.74-2.84
Pd 0.3752 0.7500 0.0193  12 Pd 2.76-2.82
Pd 0.6251 0.2500 0.2134  12 Pd 2.77-2.84
Pd 0.3749 0.7500 0.8643  12 Pd 2.77-2.83
Pd 0.1248 0.2500 0.8257  12 Pd 2.76-2.92
Pd 0.3747 0.7500 0.1744  12 Pd 2.76-2.92

=====

E_tot, record by record: -5.06; -4.19; -5.09; -4.95; -5.00; -4.63; -5.03; -5.06 eV/atom